The following is a DFT calculation (PBE) of crystalline LaHoLuAl at its relaxed geometry.

- DOS at the Fermi energy (states/eV per cell) = 6.5
- energy relative to the elements (meV/atom) = -82
- crystal system = cubic

Structure (CIF):
```
data_LaHoLuAl
_chemical_formula_sum 'La1 Ho1 Lu1 Al1'
_cell_length_a 5.398
_cell_length_b 5.398
_cell_length_c 5.398
_cell_angle_alpha 60.00
_cell_angle_beta 60.00
_cell_angle_gamma 60.00
_space_group_name_H-M_alt 'P 1'
_space_group_IT_number 1
loop_
_space_group_symop_operation_xyz
'x,y,z'
loop_
_atom_site_label
_atom_site_type_symbol
_atom_site_fract_x
_atom_site_fract_y
_atom_site_fract_z
La1 La 0.000 0.000 0.000
Ho1 Ho 0.500 0.500 0.500
Lu1 Lu 0.750 0.750 0.750
Al1 Al 0.250 0.250 0.250
```


The following is a DFT calculation (PBE) of crystalline ZrNbCu2 at its relaxed geometry.

- energy relative to the lowest polymorph listed for this composition (meV per atom) = 2
- DOS at the Fermi energy (states/eV per cell) = 2.7
- energy relative to the elements (meV/atom) = 42
- crystal system = cubic

Structure (CIF):
```
data_ZrNbCu2
_chemical_formula_sum 'Zr1 Nb1 Cu2'
_cell_length_a 4.530
_cell_length_b 4.530
_cell_length_c 4.530
_cell_angle_alpha 60.00
_cell_angle_beta 60.00
_cell_angle_gamma 60.00
_space_group_name_H-M_alt 'P 1'
_space_group_IT_number 1
loop_
_space_group_symop_operation_xyz
'x,y,z'
loop_
_atom_site_label
_atom_site_type_symbol
_atom_site_fract_x
_atom_site_fract_y
_atom_site_fract_z
Zr1 Zr 0.000 0.000 0.000
Nb1 Nb 0.500 0.500 0.500
Cu1 Cu 0.250 0.250 0.250
Cu2 Cu 0.750 0.750 0.750
```